Here is a relaxed MgC2Br crystal from the Alexandria database. Energies are from PBEsol.

Unit cell a=4.1728 b=4.1728 c=4.1728 alpha=60.00 beta=60.00 gamma=60.00
Last column: nearest neighbours and their distance in Å.
Positions (direct):
Mg (0.0000, 0.0000, 0.0000)  8 C 2.56
C (0.7500, 0.7500, 0.7500)  4 Mg 2.56, 4 Br 2.56
C (0.2500, 0.2500, 0.2500)  4 Br 2.56, 4 Mg 2.56
Br (0.5000, 0.5000, 0.5000)  8 C 2.56

The total magnetization comes out at 0.00 μB/cell. For the formation energy (no corrections), the calculation gives 2.406 eV/atom. Its symmetry is Fm-3m. The value obtained for the theoretical density is 4.14 g/cm3. Its density of states at the Fermi level is 0.64 states/eV per atom.

---

Here is a relaxed Mg3CBr crystal from the Alexandria database. Energies are from PBEsol.

Unit cell a=4.9872 b=4.9872 c=4.9872 alpha=90.00 beta=90.00 gamma=90.00
Last column: nearest neighbours and their distance in Å.
Positions (direct):
C (0.5000, 0.5000, 0.5000)  12 Mg 3.53
Mg (0.0000, 0.5000, 0.0000)  2 Br 2.49
Mg (0.5000, 0.0000, 0.0000)  2 Br 2.49
Mg (0.0000, 0.0000, 0.5000)  2 Br 2.49
Br (0.0000, 0.0000, 0.0000)  6 Mg 2.49

The total magnetization comes out at 0.00 μB/cell. For the formation energy (no corrections), the calculation gives 1.587 eV/atom. Its symmetry is Pm-3m. The value obtained for the theoretical density is 2.21 g/cm3. Its density of states at the Fermi level is 0.63 states/eV per atom.

---

Here is a relaxed Na3MgC2BrO6 crystal from the Alexandria database. Energies are from PBEsol.

Unit cell a=10.0780 b=10.0780 c=10.0780 alpha=60.00 beta=60.00 gamma=60.00
Last column: nearest neighbours and their distance in Å.
Positions (direct):
O (0.9904, 0.4724, 0.7686)  1 C 1.29
O (0.4814, 0.2596, 0.7776)  1 C 1.29
O (0.4814, 0.7776, 0.4814)  1 C 1.29
O (0.4724, 0.7686, 0.9904)  1 C 1.29
O (0.7686, 0.7686, 0.9904)  1 C 1.29
O (0.7686, 0.4724, 0.7686)  1 C 1.29
O (0.4724, 0.7686, 0.7686)  1 C 1.29
O (0.7776, 0.4814, 0.2596)  1 C 1.29
O (0.7686, 0.7686, 0.4724)  1 C 1.29
O (0.4814, 0.2596, 0.4814)  1 C 1.29
O (0.7686, 0.4724, 0.9904)  1 C 1.29
O (0.4814, 0.4814, 0.7776)  1 C 1.29
O (0.4814, 0.4814, 0.2596)  1 C 1.29
O (0.7776, 0.2596, 0.4814)  1 C 1.29
O (0.9904, 0.7686, 0.7686)  1 C 1.29
O (0.2596, 0.4814, 0.4814)  1 C 1.29
O (0.4814, 0.7776, 0.2596)  1 C 1.29
O (0.2596, 0.7776, 0.4814)  1 C 1.29
O (0.7686, 0.9904, 0.7686)  1 C 1.29
O (0.7686, 0.9904, 0.4724)  1 C 1.29
O (0.7776, 0.4814, 0.4814)  1 C 1.29
O (0.2596, 0.4814, 0.7776)  1 C 1.29
O (0.9904, 0.7686, 0.4724)  1 C 1.29
O (0.4724, 0.9904, 0.7686)  1 C 1.29
Br (0.1250, 0.1250, 0.1250)  6 Na 3.01
Br (0.1250, 0.6250, 0.1250)  6 Na 3.01
Br (0.1250, 0.1250, 0.6250)  6 Na 3.01
Br (0.6250, 0.1250, 0.1250)  6 Na 3.01
Na (0.2406, 0.7594, 0.2406)  6 O 2.43-2.63
Na (0.7594, 0.2406, 0.7594)  6 O 2.43-2.63
Na (0.7594, 0.2406, 0.2406)  6 O 2.43-2.63
Na (0.4906, 0.0094, 0.0094)  6 O 2.43-2.63
Na (0.0094, 0.4906, 0.4906)  6 O 2.43-2.63
Na (0.4906, 0.0094, 0.4906)  6 O 2.43-2.63
Na (0.7594, 0.7594, 0.2406)  6 O 2.43-2.63
Na (0.2406, 0.2406, 0.7594)  6 O 2.43-2.63
Na (0.0094, 0.0094, 0.4906)  6 O 2.43-2.63
Na (0.4906, 0.4906, 0.0094)  6 O 2.43-2.63
Na (0.2406, 0.7594, 0.7594)  6 O 2.43-2.63
Na (0.0094, 0.4906, 0.0094)  6 O 2.43-2.63
C (0.8420, 0.8420, 0.4741)  3 O 1.29
C (0.8420, 0.4741, 0.8420)  3 O 1.29
C (0.7759, 0.4080, 0.4080)  3 O 1.29
C (0.4741, 0.8420, 0.8420)  3 O 1.29
C (0.4080, 0.4080, 0.7759)  3 O 1.29
C (0.4080, 0.7759, 0.4080)  3 O 1.29
C (0.4080, 0.4080, 0.4080)  3 O 1.29
C (0.8420, 0.8420, 0.8420)  3 O 1.29
Mg (0.6250, 0.1250, 0.6250)  6 O 2.05
Mg (0.6250, 0.6250, 0.6250)  6 O 2.05
Mg (0.6250, 0.6250, 0.1250)  6 O 2.05
Mg (0.1250, 0.6250, 0.6250)  6 O 2.05

The total magnetization comes out at 0.00 μB/cell. For the formation energy (no corrections), the calculation gives -1.846 eV/atom. Its symmetry is Fd-3m. The value obtained for the theoretical density is 2.69 g/cm3. Its density of states at the Fermi level is 0.00 states/eV per atom.

---

Here is a relaxed MgCSe2Br crystal from the Alexandria database. Energies are from PBEsol.

Unit cell a=4.3561 b=4.3561 c=4.8679 alpha=90.00 beta=90.00 gamma=90.00
Last column: nearest neighbours and their distance in Å.
Positions (direct):
Mg (0.5000, 0.5000, 0.5000)  4 Br 3.08, 8 Se 3.27
Se (0.0000, 0.5000, 0.0000)  2 C 2.18
Se (0.5000, 0.0000, 0.0000)  2 C 2.18
Br (0.0000, 0.0000, 0.5000)  2 C 2.43
C (0.0000, 0.0000, 0.0000)  4 Se 2.18, 2 Br 2.43

The total magnetization comes out at 0.00 μB/cell. For the formation energy (no corrections), the calculation gives 0.602 eV/atom. Its symmetry is P4/mmm. The value obtained for the theoretical density is 4.93 g/cm3. Its density of states at the Fermi level is 0.48 states/eV per atom.